[1]
The following is a DFT calculation (PBE) of a relaxed structure of Ag2IrPb.

- Crystal system: cubic
- Space group: F-43m (216)
- Calculated formation energy: 0.35 eV/atom

```
Ag2IrPb
1.0
0.0000 3.3441 3.3441
3.3441 0.0000 3.3441
3.3441 3.3441 0.0000
Ag Ir Pb
2 1 1
direct
0.0000 0.0000 0.0000
0.2500 0.2500 0.2500
0.7500 0.7500 0.7500
0.5000 0.5000 0.5000
```

=====

[2]
The following is a DFT calculation (PBE) of a relaxed structure of AgIrPb2.

- Crystal system: tetragonal
- Space group: P4/mmm (123)
- Calculated formation energy: 0.40 eV/atom
- ΔE to the lowest computed polymorph: 123 meV/atom

```
AgIrPb2
1.0
5.0428 0.0000 0.0000
0.0000 5.0428 0.0000
0.0000 0.0000 3.4096
Ag Ir Pb
1 1 2
direct
0.0000 0.0000 0.0000
0.5000 0.5000 0.0000
0.0000 0.5000 0.5000
0.5000 0.0000 0.5000
```

=====

[3]
The following is a DFT calculation (PBE) of a relaxed structure of AgIrPb.

- Crystal system: cubic
- Space group: F-43m (216)
- Calculated formation energy: 0.36 eV/atom
- ΔE to the lowest computed polymorph: 0 meV/atom

```
AgIrPb
1.0
0.0000 3.2082 3.2082
3.2082 0.0000 3.2082
3.2082 3.2082 0.0000
Ag Ir Pb
1 1 1
direct
0.0000 0.0000 0.0000
0.7500 0.7500 0.7500
0.5000 0.5000 0.5000
```

=====

[4]
The following is a DFT calculation (PBE) of a relaxed structure of AgIrPb2.

- Crystal system: tetragonal
- Space group: P4mm (99)
- Calculated formation energy: 0.30 eV/atom
- ΔE to the lowest computed polymorph: 21 meV/atom

```
AgIrPb2
1.0
3.2674 0.0000 0.0000
0.0000 3.2674 0.0000
0.0000 0.0000 8.6485
Ag Ir Pb
1 1 2
direct
0.0000 0.0000 0.0000
0.5000 0.5000 0.1956
0.0000 0.0000 0.3964
0.5000 0.5000 0.7671
```

=====

[5]
The following is a DFT calculation (PBE) of a relaxed structure of AgIrPb2.

- Crystal system: tetragonal
- Space group: I-4m2 (119)
- Calculated formation energy: 0.43 eV/atom
- ΔE to the lowest computed polymorph: 150 meV/atom

```
AgIrPb2
1.0
-2.1250 2.1250 4.8197
2.1250 -2.1250 4.8197
2.1250 2.1250 -4.8197
Ag Ir Pb
1 1 2
direct
0.0000 0.0000 0.0000
0.2500 0.7500 0.5000
0.5000 0.5000 0.0000
0.7500 0.2500 0.5000
```

=====

[6]
The following is a DFT calculation (PBE) of a relaxed structure of Ag2IrPb.

- Crystal system: monoclinic
- Space group: C2/m (12)
- Calculated formation energy: 0.33 eV/atom

```
Ag2IrPb
1.0
5.7042 -1.5719 0.0000
5.7042 1.5719 0.0000
-1.7309 0.0000 4.3315
Ag Ir Pb
2 1 1
direct
0.2275 0.2275 0.2283
0.7725 0.7725 0.7717
0.5000 0.5000 0.0000
0.0000 0.0000 0.5000
```

=====

[7]
The following is a DFT calculation (PBE) of a relaxed structure of AgIr2PbSe.

- Crystal system: tetragonal
- Raw formation energy: 1.76 eV/atom
- Space group: P4/mmm (123)

```
AgIr2PbSe
1.0
4.9474 0.0000 0.0000
0.0000 4.9474 0.0000
0.0000 0.0000 5.2506
Ag Ir Pb Se
1 2 1 1
direct
0.0000 0.0000 0.0000
0.0000 0.5000 0.0000
0.5000 0.0000 0.0000
0.0000 0.0000 0.5000
0.5000 0.5000 0.5000
```

=====

[8]
The following is a DFT calculation (PBE) of a relaxed structure of Ag3IrPd.

- Crystal system: cubic
- Space group: Pm-3m (221)
- Calculated formation energy: 1.37 eV/atom
- ΔE to the lowest computed polymorph: 0 meV/atom

```
Ag3IrPd
1.0
5.0165 0.0000 0.0000
0.0000 5.0165 0.0000
0.0000 0.0000 5.0165
Ag Ir Pd
3 1 1
direct
0.0000 0.0000 0.5000
0.0000 0.5000 0.0000
0.5000 0.0000 0.0000
0.0000 0.0000 0.0000
0.5000 0.5000 0.5000
```

=====

[9]
The following is a DFT calculation (PBE) of a relaxed structure of AgIr2Pd.

- Crystal system: cubic
- Space group: Fm-3m (225)
- Calculated formation energy: 0.62 eV/atom
- ΔE to the lowest computed polymorph: 0 meV/atom

```
AgIr2Pd
1.0
0.0000 3.1433 3.1433
3.1433 0.0000 3.1433
3.1433 3.1433 0.0000
Ag Ir Pd
1 2 1
direct
0.0000 0.0000 0.0000
0.2500 0.2500 0.2500
0.7500 0.7500 0.7500
0.5000 0.5000 0.5000
```

=====

[10]
The following is a DFT calculation (PBE) of a relaxed structure of AgIrPd2.

- Crystal system: tetragonal
- Space group: I-42d (122)
- Calculated formation energy: 0.61 eV/atom
- ΔE to the lowest computed polymorph: 529 meV/atom

```
AgIrPd2
1.0
-1.9286 1.9286 9.2143
1.9286 -1.9286 9.2143
1.9286 1.9286 -9.2143
Ag Ir Pd
2 2 4
direct
0.0000 0.0000 0.0000
0.7500 0.2500 0.5000
0.2500 0.7500 0.5000
0.5000 0.5000 0.0000
0.1380 0.6250 0.0130
0.3750 0.3880 0.5130
0.6120 0.1250 0.9870
0.8750 0.8620 0.4870
```

=====

[11]
The following is a DFT calculation (PBE) of a relaxed structure of AgIrPd2.

- Crystal system: tetragonal
- Space group: P4/mmm (123)
- Calculated formation energy: 0.11 eV/atom
- ΔE to the lowest computed polymorph: 26 meV/atom

```
AgIrPd2
1.0
2.8032 0.0000 0.0000
0.0000 2.8032 0.0000
0.0000 0.0000 7.9912
Ag Ir Pd
1 1 2
direct
0.0000 0.0000 0.0000
0.0000 0.0000 0.5000
0.5000 0.5000 0.2646
0.5000 0.5000 0.7354
```

=====

[12]
The following is a DFT calculation (PBE) of a relaxed structure of AgIrPd2.

- Crystal system: trigonal
- Space group: R-3m (166)
- Calculated formation energy: 0.08 eV/atom
- ΔE to the lowest computed polymorph: 0 meV/atom

```
AgIrPd2
1.0
1.3992 0.8078 9.2099
-1.3992 0.8078 9.2099
0.0000 -1.6156 9.2099
Ag Ir Pd
1 1 2
direct
0.0000 0.0000 0.0000
0.5000 0.5000 0.5000
0.2466 0.2466 0.2466
0.7534 0.7534 0.7534
```

=====

[13]
The following is a DFT calculation (PBE) of a relaxed structure of AgIrPd2.

- Crystal system: cubic
- Space group: Fm-3m (225)
- Calculated formation energy: 0.35 eV/atom
- ΔE to the lowest computed polymorph: 267 meV/atom

```
AgIrPd2
1.0
0.0000 3.1635 3.1635
3.1635 0.0000 3.1635
3.1635 3.1635 0.0000
Ag Ir Pd
1 1 2
direct
0.0000 0.0000 0.0000
0.5000 0.5000 0.5000
0.2500 0.2500 0.2500
0.7500 0.7500 0.7500
```

=====

[14]
The following is a DFT calculation (PBE) of a relaxed structure of AgIr2Pd.

- Crystal system: tetragonal
- Space group: I-42d (122)
- Calculated formation energy: 0.91 eV/atom
- ΔE to the lowest computed polymorph: 289 meV/atom

```
AgIr2Pd
1.0
-3.6719 3.6719 2.5759
3.6719 -3.6719 2.5759
3.6719 3.6719 -2.5759
Ag Ir Pd
2 4 2
direct
0.0000 0.0000 0.0000
0.7500 0.2500 0.5000
0.1543 0.1250 0.5293
0.3750 0.8457 0.9707
0.5957 0.6250 0.4707
0.8750 0.4043 0.0293
0.2500 0.7500 0.5000
0.5000 0.5000 0.0000
```

=====

[15]
The following is a DFT calculation (PBE) of a relaxed structure of Ag2IrPdRh.

- Crystal system: tetragonal
- Space group: P4/mmm (123)
- Calculated formation energy: 1.58 eV/atom

```
Ag2IrPdRh
1.0
5.0141 0.0000 0.0000
0.0000 5.0141 0.0000
0.0000 0.0000 4.6787
Ag Ir Pd Rh
2 1 1 1
direct
0.0000 0.5000 0.0000
0.5000 0.0000 0.0000
0.0000 0.0000 0.0000
0.0000 0.0000 0.5000
0.5000 0.5000 0.5000
```

=====

The calculation returns the following Fermi-level density of states values, one per record and in order: 2.83; 3.08; 1.94; 2.46; 3.02; 2.18; 7.39; 5.49; 9.12; 9.66; 5.87; 5.05; 7.32; 13.48; 9.24 states/eV per cell.
The calculation returns the following calculated total energy values, one per record and in order: -16.87; -17.51; -14.34; -17.92; -17.40; -16.93; -18.96; -15.77; -23.29; -19.66; -21.67; -21.78; -20.71; -22.13; -19.19 eV/f.u..